GGA-PBE AlNi2Sb, optimized geometry; magnetic moment = 0.0 μB per formula unit; ΔE_f (raw) = -0.8 eV/f.u.; DOS at the Fermi energy = 1.21 states/eV per cell; relative energy among the computed polymorphs = 35 meV per atom; E = -5.065 eV per atom
1.0
3.409 0.000 0.000
0.000 3.421 0.000
0.000 0.000 5.135
Al Ni Sb
1 2 1
direct
0.000 0.000 0.000
0.000 0.000 0.467
0.500 0.500 0.161
0.500 0.500 0.655

GGA-PBE Ac6Ge2PtI3, optimized geometry; magnetic moment = 0.0 μB per formula unit; ΔE_f (raw) = -12.3 eV/f.u.; DOS at the Fermi energy = 11.72 states/eV per cell; E = -4.739 eV per atom
1.0
4.031 -6.951 0.000
4.031 6.951 0.000
-2.700 0.000 8.002
Ac Ge Pt I
6 2 1 3
direct
0.066 0.388 0.198
0.257 0.257 0.795
0.388 0.066 0.198
0.612 0.934 0.802
0.743 0.743 0.205
0.934 0.612 0.802
0.334 0.666 0.000
0.666 0.334 0.000
0.000 0.000 0.000
0.176 0.824 0.500
0.500 0.500 0.500
0.824 0.176 0.500

Q: DOS at the Fermi energy of number 1 (AlNi2Sb)?
A: 1.21 states/eV per cell